1.
Material: Bi2Pd3Au
Method: DFT, PBE
State: optimized geometry

The energy relative to the elements comes out at -16.7 kJ per mole of atoms. As for the total energy: -4.61 eV/atom. For the energy relative to the lowest polymorph listed for this composition, the calculation gives 4.2 kJ/mol of atoms. As for the volume: 21.7 Å³/atom.

It has space group Cmcm (No. 63), with a = 12.2038 Å, b = 7.4843 Å, c = 5.6998 Å, α = 90.00°, β = 90.00° and γ = 90.00°. The distinct sites, in fractional coordinates, are Bi at (0.1680, 0.1734, 0.2500), Pd at (0.0000, 0.0000, 0.0000), Pd at (0.1608, 0.5000, 0.0000) and Au at (0.0000, 0.3168, 0.7500).

2.
Material: SrInBrF2
Method: DFT, PBE
State: optimized geometry

For the formation energy (no corrections), the calculation gives -2.515 eV/atom. As for the total energy: -4.48 eV/atom. As for the volume: 26.1 Å³/atom.

It has space group P2_1/m (No. 11), with a = 7.2679 Å, b = 4.2907 Å, c = 8.8130 Å, α = 90.00°, β = 108.24° and γ = 90.00°. The distinct sites, in fractional coordinates, are Sr at (0.1832, 0.2500, 0.4260), In at (0.2041, 0.2500, 0.9373), Br at (0.4411, 0.7500, 0.6749), F at (0.0109, 0.7500, 0.3858) and F at (0.0228, 0.2500, 0.1366).

3.
Material: ZnInAg2
Method: DFT, PBE
State: optimized geometry

The energy relative to the elements comes out at 4.2 kJ per mole of atoms. As for the total energy: -2.39 eV/atom. As for the volume: 18.6 Å³/atom.

It has space group Cmmm (No. 65), with a = 5.9300 Å, b = 8.2943 Å, c = 3.0327 Å, α = 90.00°, β = 90.00° and γ = 90.00°. The distinct sites, in fractional coordinates, are Zn at (0.0000, 0.0000, 0.0000), In at (0.0000, 0.5000, 0.0000) and Ag at (0.2500, 0.2500, 0.5000).

Repeat the first record exactly.
Material: Bi2Pd3Au
Method: DFT, PBE
State: optimized geometry

The energy relative to the elements comes out at -16.7 kJ per mole of atoms. As for the total energy: -4.61 eV/atom. For the energy relative to the lowest polymorph listed for this composition, the calculation gives 4.2 kJ/mol of atoms. As for the volume: 21.7 Å³/atom.

It has space group Cmcm (No. 63), with a = 12.2038 Å, b = 7.4843 Å, c = 5.6998 Å, α = 90.00°, β = 90.00° and γ = 90.00°. The distinct sites, in fractional coordinates, are Bi at (0.1680, 0.1734, 0.2500), Pd at (0.0000, 0.0000, 0.0000), Pd at (0.1608, 0.5000, 0.0000) and Au at (0.0000, 0.3168, 0.7500).